The following is a DFT calculation (GGA+U) of a relaxed DyAlCr2O6 crystal.

Unit cell a=5.2047 b=5.2047 c=13.8655 alpha=90.00 beta=90.00 gamma=120.00
With the nearest neighbours (Å) after each atom.
Space group R3 (No. 146, hexagonal axes)
One atom of each set of equivalent atoms:
Dy 0.0000 0.0000 0.0000 [3 per cell]  6 O 2.17-2.42
Al 0.0000 0.0000 0.5207 [3 per cell]  6 O 1.95-1.98
Cr 0.0000 0.0000 0.2147 [3 per cell]  6 O 1.99-2.07
Cr 0.0000 0.0000 0.7224 [3 per cell]  6 O 2.04-2.06
O 0.0042 0.3224 0.1263 [9 per cell]  1 Al 1.95, 2 Cr 2.04-2.07
O 0.0777 0.7112 0.2839 [9 per cell]  1 Al 1.98, 2 Cr 1.99-2.06, 1 Dy 2.17

Results
**M_tot**: 18.00 μB per cell
**Final energy**: -7.873 eV per atom
**Volume**: 325.30 Å³ per cell